Entry 1:
KIrRu2: relaxed, GGA-PBE.

Lattice parameters (Å, degrees): 8.909 2.766 6.689 90.00 95.28 90.00
Space group C2/m (No. 12)
Asymmetric unit:
K 0.000 0.000 0.000 x2
Ir 0.000 0.500 0.500 x2
Ru 0.229 0.000 0.652 x4

Calculated values
The formation enthalpy at 0 K comes out at 75.37 kJ/mol of atoms. For the excess energy over the best structure of this formula in the dataset, the calculation gives 165.7 meV per atom. The magnetization comes out at 0.0 μB per formula unit.

---

Entry 2:
KIr2Ru2: relaxed, GGA-PBE.

Lattice parameters (Å, degrees): 4.144 4.144 10.824 90.00 90.00 90.00
Space group I4/mmm (No. 139)
Asymmetric unit:
K 0.000 0.000 0.000 x2
Ir 0.000 0.500 0.250 x4
Ru 0.000 0.000 0.393 x4

Calculated values
The formation enthalpy at 0 K comes out at 67.09 kJ/mol of atoms. For the excess energy over the best structure of this formula in the dataset, the calculation gives 271.4 meV per atom. The magnetization comes out at 0.5 μB per formula unit.

---

Entry 3:
KIr4Ru: relaxed, GGA-PBE.

Lattice parameters (Å, degrees): 7.470 7.470 7.470 90.00 90.00 90.00
Space group F-43m (No. 216)
Asymmetric unit:
K 0.000 0.000 0.000 x4
Ir 0.125 0.125 0.375 x16
Ru 0.250 0.250 0.750 x4

Calculated values
The formation enthalpy at 0 K comes out at 79.13 kJ/mol of atoms. The magnetization comes out at 3.4 μB per formula unit.

---

Entry 4:
KIrRu2: relaxed, GGA-PBE.

Lattice parameters (Å, degrees): 2.713 5.086 10.382 90.00 90.00 90.00
Space group Immm (No. 71)
Asymmetric unit:
K 0.000 0.000 0.000 x2
Ir 0.000 0.000 0.500 x2
Ru 0.000 0.500 0.213 x4

Calculated values
The formation enthalpy at 0 K comes out at 89.85 kJ/mol of atoms. For the excess energy over the best structure of this formula in the dataset, the calculation gives 315.8 meV per atom. The magnetization comes out at 0.0 μB per formula unit.